Zn2NiRh | PBE-GGA | relaxed

Summary:
V: 13.592 Å³/atom
theoretical density: 8.9 g/cm3
formation enthalpy at 0 K: -0.256 eV per formula unit
total energy: -3.98 eV per atom
DOS(E_F): 3.92 states/eV/cell

abc: 8.6850 8.6850 8.6850
angles: 17.96 17.96 17.96
With the nearest neighbours (Å) after each atom.
Atoms (fractional coordinates):
Zn 0.2445 0.2445 0.2445  3 Ni 2.53, 9 Zn 2.71-2.82
Zn 0.0025 0.0025 0.0025  3 Rh 2.65, 9 Zn 2.71-2.82
Ni 0.5002 0.5002 0.5002  3 Zn 2.53, 3 Rh 2.59, 6 Ni 2.71
Rh 0.7528 0.7528 0.7528  3 Ni 2.59, 3 Zn 2.65, 6 Rh 2.71

---

Zn3NiRh4 | PBE-GGA | relaxed

Summary:
V: 13.588 Å³/atom
theoretical density: 10.2 g/cm3
formation enthalpy at 0 K: -1.980 eV per formula unit
total energy: -5.12 eV per atom
DOS(E_F): 7.35 states/eV/cell

abc: 3.0273 4.2359 8.4768
angles: 90.00 90.00 90.00
With the nearest neighbours (Å) after each atom.
Atoms (fractional coordinates):
Zn 0.5000 0.0000 0.7508  8 Rh 2.60-2.61
Zn 0.5000 0.0000 0.2492  8 Rh 2.60-2.61
Zn 0.5000 0.5000 0.5000  8 Rh 2.60-2.66
Rh 0.0000 0.0000 0.5000  8 Zn 2.60-2.61
Rh 0.0000 0.5000 0.2415  2 Ni 2.55, 6 Zn 2.60-2.66
Rh 0.0000 0.0000 0.0000  4 Zn 2.60, 4 Ni 2.60
Rh 0.0000 0.5000 0.7585  2 Ni 2.55, 6 Zn 2.60-2.66
Ni 0.5000 0.5000 0.0000  8 Rh 2.55-2.60

---

Zn2NiRh | PBE-GGA | relaxed

Summary:
V: 13.312 Å³/atom
theoretical density: 9.1 g/cm3
formation enthalpy at 0 K: -0.936 eV per formula unit
total energy: -4.15 eV per atom
DOS(E_F): 3.28 states/eV/cell

abc: 4.9052 4.9052 4.3664
angles: 68.18 68.18 33.36
With the nearest neighbours (Å) after each atom.
Atoms (fractional coordinates):
Zn 0.7576 0.7576 0.6775  3 Ni 2.58-2.62, 4 Rh 2.59-2.61, 5 Zn 2.74-2.82
Zn 0.9959 0.9959 0.0661  4 Ni 2.57-2.63, 3 Rh 2.59-2.62, 5 Zn 2.74-2.82
Ni 0.5022 0.5022 0.5698  7 Zn 2.57-2.63, 3 Rh 2.65-2.84, 2 Ni 2.82
Rh 0.2444 0.2444 0.1866  7 Zn 2.59-2.62, 3 Ni 2.65-2.84, 2 Rh 2.82

---

Zn4NiRh5 | PBE-GGA | relaxed

Summary:
V: 13.712 Å³/atom
theoretical density: 10.1 g/cm3
formation enthalpy at 0 K: -2.685 eV per formula unit
total energy: -5.03 eV per atom
DOS(E_F): 10.80 states/eV/cell

abc: 3.0231 3.0231 15.0038
angles: 90.00 90.00 90.00
With the nearest neighbours (Å) after each atom.
Atoms (fractional coordinates):
Rh 0.5000 0.5000 0.7025  8 Zn 2.61-2.63
Rh 0.5000 0.5000 0.9050  4 Ni 2.57, 4 Zn 2.64, 1 Rh 2.85
Rh 0.5000 0.5000 0.0950  4 Ni 2.57, 4 Zn 2.64, 1 Rh 2.85
Rh 0.5000 0.5000 0.2975  8 Zn 2.61-2.63
Rh 0.5000 0.5000 0.5000  8 Zn 2.62
Zn 0.0000 0.0000 0.6008  8 Rh 2.62-2.63
Zn 0.0000 0.0000 0.8023  8 Rh 2.61-2.64
Zn 0.0000 0.0000 0.1977  8 Rh 2.61-2.64
Zn 0.0000 0.0000 0.3992  8 Rh 2.62-2.63
Ni 0.0000 0.0000 0.0000  8 Rh 2.57

---

ZnNiRh2 | PBE-GGA | relaxed

Summary:
V: 13.673 Å³/atom
theoretical density: 10.0 g/cm3
formation enthalpy at 0 K: 0.122 eV per formula unit
total energy: -5.41 eV per atom
DOS(E_F): 6.84 states/eV/cell

abc: 2.6729 2.6729 8.5924
angles: 90.00 90.00 117.01
With the nearest neighbours (Å) after each atom.
Atoms (fractional coordinates):
Rh 0.0000 0.0000 0.5032  2 Ni 2.54, 2 Zn 2.58, 6 Rh 2.67-2.79
Rh 0.0000 0.0000 0.9968  2 Ni 2.54, 2 Zn 2.58, 6 Rh 2.67-2.79
Ni 0.5000 0.5000 0.7500  4 Rh 2.54, 6 Ni 2.67-2.79
Zn 0.5000 0.5000 0.2500  4 Rh 2.58, 6 Zn 2.67-2.79

---

ZnNi4Rh | PBE-GGA | relaxed

Summary:
V: 13.756 Å³/atom
theoretical density: 8.1 g/cm3
formation enthalpy at 0 K: 2.398 eV per formula unit
offset from the most stable computed form: 366.9 meV/atom
total energy: -4.89 eV per atom
DOS(E_F): 18.25 states/eV/cell

abc: 6.2558 6.2563 6.1121
angles: 120.78 120.78 90.00
With the nearest neighbours (Å) after each atom.
Atoms (fractional coordinates):
Ni 0.6384 0.1456 0.0047  2 Zn 2.39-2.43, 2 Rh 2.45-2.46, 3 Ni 2.47-2.52
Ni 0.1409 0.3616 0.9953  2 Zn 2.39-2.43, 2 Rh 2.45-2.46, 3 Ni 2.47-2.52
Ni 0.6116 0.6044 0.4953  2 Zn 2.39-2.43, 2 Rh 2.45-2.46, 3 Ni 2.47-2.52
Ni 0.3663 0.8591 0.0047  2 Zn 2.39-2.43, 2 Rh 2.45-2.46, 3 Ni 2.47-2.52
Ni 0.1091 0.3884 0.5047  2 Zn 2.39-2.43, 2 Rh 2.45-2.46, 3 Ni 2.47-2.52
Ni 0.8837 0.8909 0.4953  2 Zn 2.39-2.43, 2 Rh 2.45-2.46, 3 Ni 2.47-2.52
Ni 0.3956 0.1163 0.5047  2 Zn 2.39-2.43, 2 Rh 2.45-2.46, 3 Ni 2.47-2.52
Ni 0.8544 0.6337 0.9953  2 Zn 2.39-2.43, 2 Rh 2.45-2.46, 3 Ni 2.47-2.52
Rh 0.0000 0.0000 0.0000  8 Ni 2.45-2.46
Rh 0.2500 0.7500 0.5000  8 Ni 2.45-2.46
Zn 0.5000 0.5000 0.0000  8 Ni 2.39-2.43
Zn 0.7500 0.2500 0.5000  8 Ni 2.39-2.43

---

ZnNiRh2 | PBE-GGA | relaxed

Summary:
V: 13.674 Å³/atom
theoretical density: 10.0 g/cm3
formation enthalpy at 0 K: 0.080 eV per formula unit
total energy: -5.42 eV per atom
DOS(E_F): 6.77 states/eV/cell

abc: 4.2608 4.2608 4.2608
angles: 60.00 60.00 60.00
With the nearest neighbours (Å) after each atom.
Atoms (fractional coordinates):
Zn 0.7500 0.7500 0.7500  4 Ni 2.61, 4 Rh 2.61
Rh 0.2500 0.2500 0.2500  4 Ni 2.61, 4 Rh 2.61
Rh 0.0000 0.0000 0.0000  4 Rh 2.61, 4 Zn 2.61
Ni 0.5000 0.5000 0.5000  4 Zn 2.61, 4 Rh 2.61

---

ZnNiRh2 | PBE-GGA | relaxed

Summary:
V: 13.314 Å³/atom
theoretical density: 10.3 g/cm3
formation enthalpy at 0 K: -0.569 eV per formula unit
total energy: -5.58 eV per atom
DOS(E_F): 3.92 states/eV/cell

abc: 4.6440 4.6440 4.6440
angles: 132.60 132.60 69.29
With the nearest neighbours (Å) after each atom.
Atoms (fractional coordinates):
Ni 0.7500 0.2500 0.5000  8 Rh 2.64-2.67, 4 Zn 2.67
Rh 0.0000 0.0000 0.0000  4 Zn 2.64, 4 Rh 2.67, 4 Ni 2.67
Rh 0.2500 0.7500 0.5000  4 Ni 2.64, 4 Zn 2.67, 4 Rh 2.67
Zn 0.5000 0.5000 0.0000  8 Rh 2.64-2.67, 4 Ni 2.67

---

Zn2NiRh | PBE-GGA | relaxed

Summary:
V: 13.372 Å³/atom
theoretical density: 9.1 g/cm3
formation enthalpy at 0 K: -0.723 eV per formula unit
total energy: -4.10 eV per atom
DOS(E_F): 3.61 states/eV/cell

abc: 8.2937 8.2937 8.2937
angles: 19.12 19.12 19.12
With the nearest neighbours (Å) after each atom.
Atoms (fractional coordinates):
Zn 0.5030 0.5030 0.5030  3 Ni 2.53, 3 Rh 2.64, 6 Zn 2.75
Zn 0.9970 0.9970 0.9970  3 Ni 2.53, 3 Rh 2.64, 6 Zn 2.75
Ni 0.2500 0.2500 0.2500  6 Zn 2.53, 6 Ni 2.75
Rh 0.7500 0.7500 0.7500  6 Zn 2.64, 6 Rh 2.75

---

ZnNiRh2 | PBE-GGA | relaxed

Summary:
V: 13.423 Å³/atom
theoretical density: 10.2 g/cm3
formation enthalpy at 0 K: -0.391 eV per formula unit
total energy: -5.54 eV per atom
DOS(E_F): 11.51 states/eV/cell

abc: 4.6146 5.3813 5.1053
angles: 57.89 89.57 89.80
With the nearest neighbours (Å) after each atom.
Atoms (fractional coordinates):
Rh 0.4943 0.4946 0.2854  3 Ni 2.61-2.67, 6 Rh 2.65-2.72, 3 Zn 2.68-2.69
Rh 0.0020 0.7545 0.2733  4 Zn 2.62-2.69, 3 Ni 2.63-2.67, 5 Rh 2.65-2.72
Rh 0.0012 0.2456 0.2851  4 Zn 2.62-2.68, 3 Ni 2.63-2.69, 5 Rh 2.65-2.71
Rh 0.6601 0.4941 0.7818  4 Zn 2.61-2.69, 4 Rh 2.65-2.70, 4 Ni 2.65-2.72
Ni 0.1632 0.2507 0.7758  7 Rh 2.61-2.69, 2 Ni 2.65-2.69, 3 Zn 2.67-2.71
Ni 0.6595 0.9992 0.7822  4 Zn 2.62-2.69, 6 Rh 2.64-2.72, 2 Ni 2.65-2.69
Zn 0.5013 0.9992 0.2757  8 Rh 2.61-2.69, 3 Ni 2.62-2.69, 1 Zn 2.68
Zn 0.1598 0.7517 0.7804  7 Rh 2.62-2.69, 4 Ni 2.66-2.71, 1 Zn 2.68

---

ZnNiRh2 | PBE-GGA | relaxed

Summary:
V: 13.385 Å³/atom
theoretical density: 10.2 g/cm3
formation enthalpy at 0 K: -0.413 eV per formula unit
total energy: -5.54 eV per atom
DOS(E_F): 5.02 states/eV/cell

abc: 3.7455 2.7226 5.9121
angles: 62.63 90.00 90.00
With the nearest neighbours (Å) after each atom.
Atoms (fractional coordinates):
Rh 0.5000 0.2517 0.2485  2 Ni 2.61-2.64, 6 Rh 2.67-2.72, 4 Zn 2.68
Rh 0.0000 0.0066 0.9934  2 Zn 2.55-2.70, 4 Ni 2.64, 6 Rh 2.67-2.72
Zn 0.0000 0.4928 0.5070  6 Rh 2.55-2.70, 4 Ni 2.65, 2 Zn 2.72
Ni 0.5000 0.7489 0.7510  6 Rh 2.61-2.64, 4 Zn 2.65, 2 Ni 2.72

---

ZnNi4Rh4 | PBE-GGA | relaxed

Summary:
V: 12.902 Å³/atom
theoretical density: 10.2 g/cm3
formation enthalpy at 0 K: -0.115 eV per formula unit
total energy: -5.99 eV per atom
DOS(E_F): 13.57 states/eV/cell

abc: 3.6961 5.9019 5.9019
angles: 84.37 71.75 71.75
With the nearest neighbours (Å) after each atom.
Atoms (fractional coordinates):
Zn 0.0000 0.0000 0.0000  8 Rh 2.64, 4 Ni 2.70
Ni 0.6599 0.3401 0.3402  5 Ni 2.53-2.57, 6 Rh 2.63-2.66, 1 Zn 2.70
Ni 0.0000 0.6598 0.3401  5 Ni 2.53-2.57, 6 Rh 2.63-2.66, 1 Zn 2.70
Ni 0.0000 0.3402 0.6599  5 Ni 2.53-2.57, 6 Rh 2.63-2.66, 1 Zn 2.70
Ni 0.3401 0.6599 0.6598  5 Ni 2.53-2.57, 6 Rh 2.63-2.66, 1 Zn 2.70
Rh 0.6682 0.6635 0.0000  4 Rh 2.60-2.67, 6 Ni 2.63-2.66, 2 Zn 2.64
Rh 0.3318 0.3365 0.0000  4 Rh 2.60-2.67, 6 Ni 2.63-2.66, 2 Zn 2.64
Rh 0.3317 0.0000 0.3365  4 Rh 2.60-2.67, 6 Ni 2.63-2.66, 2 Zn 2.64
Rh 0.6683 0.0000 0.6635  4 Rh 2.60-2.67, 6 Ni 2.63-2.66, 2 Zn 2.64

---

Question: Among the records above, which one has the lowest DOS(E_F)?
Answer: number 3